Ba2LiTbHg6 | Alexandria | PBE | optimized geometry; density of states at the Fermi level = 8.51 states/eV per cell; E = -15.04 eV/f.u.; formation energy = -0.284 eV/atom
1.0
-3.858 3.875 5.485
3.858 -3.875 5.485
3.858 3.875 -5.485
Ba Li Tb Hg
2 1 1 6
Direct
0.250 0.250 0.000 Ba
0.750 0.750 0.000 Ba
0.500 0.000 0.500 Li
0.000 0.500 0.500 Tb
0.268 0.231 0.499 Hg
0.268 0.768 0.500 Hg
0.268 0.769 0.038 Hg
0.732 0.231 0.962 Hg
0.732 0.232 0.500 Hg
0.732 0.769 0.501 Hg

=====

Tm3TePSe | Alexandria | PBE | optimized geometry; density of states at the Fermi level = 8.86 states/eV per cell; E = -33.30 eV/f.u.
1.0
3.422 -7.149 0.000
3.422 7.149 0.000
-2.015 0.000 6.438
Tm Te P Se
6 2 2 2
Direct
0.164 0.302 0.998 Tm
0.245 0.755 0.750 Tm
0.302 0.164 0.498 Tm
0.698 0.836 0.502 Tm
0.755 0.245 0.250 Tm
0.836 0.698 0.002 Tm
0.252 0.748 0.250 Te
0.748 0.252 0.750 Te
0.062 0.938 0.750 P
0.938 0.062 0.250 P
0.439 0.561 0.750 Se
0.561 0.439 0.250 Se

=====

- Which value of density of states at the Fermi level does entry 1 give?
  8.51 states/eV per cell

=====

- What is the E in the first record?
  -15.04 eV/f.u.